Record 1
Density functional theory data (PBE-GGA) for crystalline Cu2Pb2Br7 at its relaxed geometry.

Lattice parameters (Å, degrees): 8.509 12.659 9.369 90.00 103.11 90.00
Space group C2/m (No. 12)
Unique sites:
1 Cu 0.208 0.000 0.220
2 Pb 0.000 0.317 0.500
3 Br 0.000 0.000 0.000
4 Br 0.007 0.500 0.287
5 Br 0.160 0.179 0.304

Properties
For the magnetization, the calculation gives 0.79 μB/f.u. The energy relative to the lowest polymorph listed for this composition comes out at 0 meV/atom. The density is 3.7 g/cm³. The calculation puts the formation energy from raw total energies at -6.43 eV per formula unit.

Record 2
Density functional theory data (PBE-GGA) for crystalline NiPbSe2Br at its relaxed geometry.

Lattice parameters (Å, degrees): 5.472 5.472 5.649 90.00 90.00 90.00
Space group P4/mmm (No. 123)
Unique sites:
1 Ni 0.000 0.000 0.000
2 Pb 0.500 0.500 0.500
3 Se 0.000 0.500 0.500
4 Br 0.500 0.500 0.000

Properties
For the magnetization, the calculation gives 1.42 μB/f.u. The energy relative to the lowest polymorph listed for this composition comes out at 950 meV/atom. The density is 4.9 g/cm³. The calculation puts the formation energy from raw total energies at 4.10 eV per formula unit.

Record 3
Density functional theory data (PBE-GGA) for crystalline FeIr2Se at its relaxed geometry.

Lattice parameters (Å, degrees): 5.759 7.110 2.904 90.00 90.00 90.00
Space group Cmmm (No. 65)
Unique sites:
1 Fe 0.000 0.000 0.000
2 Ir 0.250 0.250 0.500
3 Se 0.000 0.500 0.000

Properties
For the magnetization, the calculation gives 3.83 μB/f.u. The density is 14.5 g/cm³. The calculation puts the formation energy from raw total energies at 1.54 eV per formula unit.

Number 1: density of states at the Fermi level 3.2 states/eV/f.u.. Number 2: density of states at the Fermi level 11.3 states/eV/f.u.. Number 3: density of states at the Fermi level 4.3 states/eV/f.u..